Density functional theory data (PBE-GGA) for a geometry-optimized ThH6PdRh structure.

Cell lengths 4.7488, 4.7488, 4.2588 Å; angles 90.00, 90.00, 120.00 degrees
Space group P-6m2 (No. 187)
Symmetry-distinct sites (fractional):
Th 0.0000 0.0000 0.0000 (multiplicity 1)
H 0.0152 0.5076 0.2273 (multiplicity 6)
Pd 0.6667 0.3333 0.5000 (multiplicity 1)
Rh 0.3333 0.6667 0.5000 (multiplicity 1)

Calculated values
- total energy (eV/atom) = -4.797



Density functional theory data (PBE-GGA) for a geometry-optimized Ba2SrLiPd structure.

Cell lengths 6.315, 6.315, 5.396 Å; angles 90.00, 90.00, 90.00 degrees
Space group P4/mmm (No. 123)
Symmetry-distinct sites (fractional):
Ba 0.000 0.500 0.000 (multiplicity 2)
Sr 0.000 0.000 0.500 (multiplicity 1)
Li 0.500 0.500 0.500 (multiplicity 1)
Pd 0.500 0.500 0.000 (multiplicity 1)

Calculated values
- energy above the lowest structure with this stoichiometry (meV per atom) = 91
- formation energy from the elements (eV per atom) = -0.120



Density functional theory data (PBE-GGA) for a geometry-optimized PmInS3 structure.

Cell lengths 6.9023, 6.9023, 18.3341 Å; angles 90.00, 90.00, 120.00 degrees
Space group R-3 (No. 148, hexagonal axes)
Symmetry-distinct sites (fractional):
Pm 0.0000 0.0000 0.1434 (multiplicity 6)
In 0.0000 0.0000 0.3486 (multiplicity 6)
S 0.0196 0.7099 0.2525 (multiplicity 18)

Calculated values
- energy above the lowest structure with this stoichiometry (meV per atom) = 36



Density functional theory data (PBE-GGA) for a geometry-optimized LiNiSb2 structure.

Cell lengths 8.588, 8.588, 4.791 Å; angles 90.00, 90.00, 90.00 degrees
Space group I-42d (No. 122)
Symmetry-distinct sites (fractional):
Li 0.000 0.000 0.000 (multiplicity 4)
Ni 0.000 0.000 0.500 (multiplicity 4)
Sb 0.133 0.750 0.625 (multiplicity 8)

Calculated values
- energy above the lowest structure with this stoichiometry (meV per atom) = 125



Density functional theory data (PBE-GGA) for a geometry-optimized SrVGeIr2 structure.

Cell lengths 4.584, 4.584, 5.304 Å; angles 90.00, 90.00, 90.00 degrees
Space group P4/mmm (No. 123)
Symmetry-distinct sites (fractional):
Sr 0.000 0.000 0.000 (multiplicity 1)
V 0.000 0.000 0.500 (multiplicity 1)
Ge 0.500 0.500 0.000 (multiplicity 1)
Ir 0.000 0.500 0.500 (multiplicity 2)

Calculated values
- formation energy from the elements (eV per atom) = 0.872



Density functional theory data (PBE-GGA) for a geometry-optimized YTaO2 structure.

Cell lengths 4.894, 4.894, 10.754 Å; angles 90.00, 90.00, 90.00 degrees
Space group I-42d (No. 122)
Symmetry-distinct sites (fractional):
Y 0.000 0.000 0.000 (multiplicity 4)
Ta 0.000 0.000 0.500 (multiplicity 4)
O 0.187 0.250 0.625 (multiplicity 8)

Calculated values
- energy above the lowest structure with this stoichiometry (meV per atom) = 432



Density functional theory data (PBE-GGA) for a geometry-optimized KRbCa2 structure.

Cell lengths 9.717, 9.717, 9.717 Å; angles 90.00, 90.00, 90.00 degrees
Space group Fm-3m (No. 225)
Symmetry-distinct sites (fractional):
K 0.000 0.000 0.000 (multiplicity 4)
Rb 0.000 0.000 0.500 (multiplicity 4)
Ca 0.250 0.250 0.250 (multiplicity 8)

Calculated values
- energy above the lowest structure with this stoichiometry (meV per atom) = 0
- formation energy from the elements (eV per atom) = 0.279



Density functional theory data (PBE-GGA) for a geometry-optimized EuHoHg structure.

Cell lengths 5.2240, 5.2240, 3.9431 Å; angles 90.00, 90.00, 120.00 degrees
Space group P3m1 (No. 156)
Symmetry-distinct sites (fractional):
Eu 0.0000 0.0000 0.0000 (multiplicity 1)
Ho 0.3333 0.6667 0.4866 (multiplicity 1)
Hg 0.6667 0.3333 0.5506 (multiplicity 1)

Calculated values
- energy above the lowest structure with this stoichiometry (meV per atom) = 103
- formation energy from the elements (eV per atom) = -0.190



Density functional theory data (PBE-GGA) for a geometry-optimized Sr2Co structure.

Cell lengths 4.1907, 4.1907, 7.3486 Å; angles 90.00, 90.00, 120.00 degrees
Space group P-3m1 (No. 164)
Symmetry-distinct sites (fractional):
Sr 0.3333 0.6667 0.2585 (multiplicity 2)
Co 0.0000 0.0000 0.5000 (multiplicity 1)

Calculated values
- formation energy from the elements (eV per atom) = 0.460



Density functional theory data (PBE-GGA) for a geometry-optimized Pu2CoSi3Ni4 structure.

Cell lengths 3.920, 3.920, 9.731 Å; angles 90.00, 90.00, 90.00 degrees
Space group P-4m2 (No. 115)
Symmetry-distinct sites (fractional):
Pu 0.000 0.500 0.246 (multiplicity 2)
Co 0.500 0.500 0.000 (multiplicity 1)
Si 0.000 0.000 0.000 (multiplicity 1)
Si 0.000 0.500 0.629 (multiplicity 2)
Ni 0.000 0.000 0.500 (multiplicity 1)
Ni 0.000 0.500 0.867 (multiplicity 2)
Ni 0.500 0.500 0.500 (multiplicity 1)

Calculated values
- total energy (eV/atom) = -8.003



Density functional theory data (PBE-GGA) for a geometry-optimized Fe2SnTePd structure.

Cell lengths 4.796, 4.796, 5.709 Å; angles 90.00, 90.00, 90.00 degrees
Space group P4/mmm (No. 123)
Symmetry-distinct sites (fractional):
Fe 0.000 0.500 0.000 (multiplicity 2)
Sn 0.000 0.000 0.000 (multiplicity 1)
Te 0.000 0.000 0.500 (multiplicity 1)
Pd 0.500 0.500 0.500 (multiplicity 1)

Calculated values
- total energy (eV/atom) = -4.506



Density functional theory data (PBE-GGA) for a geometry-optimized NaZnPd3 structure.

Cell lengths 4.614, 4.614, 4.614 Å; angles 90.00, 90.00, 90.00 degrees
Space group Pm-3m (No. 221)
Symmetry-distinct sites (fractional):
Na 0.000 0.000 0.000 (multiplicity 1)
Zn 0.500 0.500 0.500 (multiplicity 1)
Pd 0.000 0.000 0.500 (multiplicity 3)

Calculated values
- energy above the lowest structure with this stoichiometry (meV per atom) = 1019
- formation energy from the elements (eV per atom) = 0.861



Density functional theory data (PBE-GGA) for a geometry-optimized CaLa3Pa2N6 structure.

Cell lengths 15.815, 3.622, 7.282 Å; angles 90.00, 105.03, 90.00 degrees
Space group C2/m (No. 12)
Symmetry-distinct sites (fractional):
Ca 0.000 0.000 0.000 (multiplicity 2)
La 0.000 0.000 0.500 (multiplicity 2)
La 0.166 0.500 0.837 (multiplicity 4)
Pa 0.164 0.500 0.327 (multiplicity 4)
N 0.018 0.500 0.261 (multiplicity 4)
N 0.165 0.000 0.115 (multiplicity 4)
N 0.176 0.000 0.555 (multiplicity 4)

Calculated values
- total energy (eV/atom) = -8.613



Density functional theory data (PBE-GGA) for a geometry-optimized LaSm4Pd4 structure.

Cell lengths 9.190, 9.190, 5.927 Å; angles 90.00, 90.00, 90.00 degrees
Space group P4_2/n (No. 86, origin choice 2)
Symmetry-distinct sites (fractional):
La 0.250 0.250 0.250 (multiplicity 2)
Sm 0.071 0.657 0.164 (multiplicity 8)
Pd 0.035 0.625 0.659 (multiplicity 8)

Calculated values
- formation energy from the elements (eV per atom) = -0.632



Density functional theory data (PBE-GGA) for a geometry-optimized Sr5Br structure.

Cell lengths 4.043, 4.043, 17.399 Å; angles 90.00, 90.00, 90.00 degrees
Space group P4/mmm (No. 123)
Symmetry-distinct sites (fractional):
Sr 0.000 0.000 0.000 (multiplicity 1)
Sr 0.000 0.000 0.367 (multiplicity 2)
Sr 0.500 0.500 0.186 (multiplicity 2)
Br 0.500 0.500 0.500 (multiplicity 1)

Calculated values
- energy above the lowest structure with this stoichiometry (meV per atom) = 3



Density functional theory data (PBE-GGA) for a geometry-optimized YCuGe2Ir structure.

Cell lengths 4.139, 4.139, 10.329 Å; angles 90.00, 90.00, 90.00 degrees
Space group I-4m2 (No. 119)
Symmetry-distinct sites (fractional):
Y 0.000 0.000 0.000 (multiplicity 2)
Cu 0.000 0.500 0.750 (multiplicity 2)
Ge 0.000 0.000 0.380 (multiplicity 4)
Ir 0.000 0.500 0.250 (multiplicity 2)

Calculated values
- formation energy from the elements (eV per atom) = -0.565



Density functional theory data (PBE-GGA) for a geometry-optimized Pm5Dy2Y structure.

Cell lengths 16.662, 10.029, 6.612 Å; angles 90.00, 100.34, 90.00 degrees
Space group C2/c (No. 15)
Symmetry-distinct sites (fractional):
Pm 0.000 0.056 0.250 (multiplicity 4)
Pm 0.097 0.405 0.143 (multiplicity 8)
Pm 0.202 0.087 0.022 (multiplicity 8)
Dy 0.079 0.256 0.630 (multiplicity 8)
Y 0.250 0.250 0.500 (multiplicity 4)

Calculated values
- energy above the lowest structure with this stoichiometry (meV per atom) = 22
- formation energy from the elements (eV per atom) = 0.153



Density functional theory data (PBE-GGA) for a geometry-optimized ThSbAuSe structure.

Cell lengths 4.702, 4.702, 8.840 Å; angles 90.00, 90.00, 90.00 degrees
Space group P4/nmm (No. 129, origin choice 2)
Symmetry-distinct sites (fractional):
Th 0.250 0.250 0.210 (multiplicity 2)
Sb 0.250 0.250 0.686 (multiplicity 2)
Au 0.250 0.750 0.500 (multiplicity 2)
Se 0.250 0.750 0.000 (multiplicity 2)

Calculated values
- total energy (eV/atom) = -5.514



Density functional theory data (PBE-GGA) for a geometry-optimized NdTlAg structure.

Cell lengths 3.410, 3.410, 15.959 Å; angles 90.00, 90.00, 90.00 degrees
Space group I4mm (No. 107)
Symmetry-distinct sites (fractional):
Nd 0.000 0.000 0.000 (multiplicity 2)
Tl 0.000 0.000 0.201 (multiplicity 2)
Ag 0.000 0.000 0.814 (multiplicity 2)

Calculated values
- formation energy from the elements (eV per atom) = 0.371



Density functional theory data (PBE-GGA) for a geometry-optimized BaTcPt structure.

Cell lengths 3.016, 4.021, 11.684 Å; angles 90.00, 90.00, 90.00 degrees
Space group Imm2 (No. 44)
Symmetry-distinct sites (fractional):
Ba 0.000 0.000 0.000 (multiplicity 2)
Tc 0.000 0.000 0.281 (multiplicity 2)
Pt 0.000 0.000 0.713 (multiplicity 2)

Calculated values
- energy above the lowest structure with this stoichiometry (meV per atom) = 146
- formation energy from the elements (eV per atom) = 0.280